Below is a relaxed structure of LiCdP2, with properties calculated at the GGA-PBEsol level.

The structure in extended XYZ format:
```
4
Lattice="-0.421 1.956 -2.576 0.169 -4.301 -1.227 -4.974 0.977 1.554" Properties=species:S:1:pos:R:3 pbc="T T T"
Cd -0.211 0.978 -1.288
Li -2.487 0.488 0.777
P -3.515 -0.069 -1.543
P -1.710 -1.299 -0.706
```

Calculated values
**Formation enthalpy at 0 K**: -0.127 eV/atom
**Symmetry**: No. 12
**Total energy**: -3.81 eV/atom



Below is a relaxed structure of Li3CdP, with properties calculated at the GGA-PBEsol level.

The structure in extended XYZ format:
```
5
Lattice="-1.751 -4.203 1.182 1.844 -1.866 -3.904 3.958 -0.990 2.342" Properties=species:S:1:pos:R:3 pbc="T T T"
P 0.000 0.000 0.000
Li 0.922 -0.933 -1.952
Li 1.979 -0.495 1.171
Li -0.875 -2.102 0.591
Cd 2.026 -3.530 -0.190
```

Calculated values
**Formation enthalpy at 0 K**: -0.295 eV/atom
**Symmetry**: No. 221
**Total energy**: -2.87 eV/atom



Below is a relaxed structure of LiCdP2, with properties calculated at the GGA-PBEsol level.

The structure in extended XYZ format:
```
4
Lattice="-3.793 -0.659 -0.541 -0.371 -1.091 3.925 -0.817 3.881 1.002" Properties=species:S:1:pos:R:3 pbc="T T T"
Cd -2.491 1.066 2.193
Li -1.897 -0.329 -0.271
P -0.409 1.941 0.501
P -0.185 -0.546 1.963
```

Calculated values
**Formation enthalpy at 0 K**: 0.037 eV/atom
**Symmetry**: No. 123
**Total energy**: -3.65 eV/atom



Below is a relaxed structure of LiCdP, with properties calculated at the GGA-PBEsol level.

The structure in extended XYZ format:
```
3
Lattice="2.876 0.027 0.000 -0.084 2.874 0.000 -1.396 -1.451 6.093" Properties=species:S:1:pos:R:3 pbc="T T T"
P 1.396 1.451 2.215
Cd 0.000 0.000 0.005
Li 0.000 0.000 3.874
```

Calculated values
**Formation enthalpy at 0 K**: -0.064 eV/atom
**Symmetry**: No. 42
**Total energy**: -3.05 eV/atom



Below is a relaxed structure of LiCdP2, with properties calculated at the GGA-PBEsol level.

The structure in extended XYZ format:
```
4
Lattice="3.700 0.000 0.000 0.000 4.113 0.071 0.000 -1.148 4.294" Properties=species:S:1:pos:R:3 pbc="T T T"
Cd 1.850 2.057 0.035
Li 0.000 1.483 2.183
P 0.000 0.000 0.000
P 1.850 -0.574 2.147
```

Calculated values
**Formation enthalpy at 0 K**: 0.042 eV/atom
**Symmetry**: No. 10
**Total energy**: -3.64 eV/atom



Below is a relaxed structure of Li2Cd2P, with properties calculated at the GGA-PBEsol level.

The structure in extended XYZ format:
```
5
Lattice="3.633 0.000 0.000 0.000 3.633 0.000 -1.817 -1.817 7.039" Properties=species:S:1:pos:R:3 pbc="T T T"
P 0.000 0.000 0.000
Li 0.000 1.817 3.519
Li 1.817 0.000 3.519
Cd 0.000 0.000 5.624
Cd 1.817 1.817 1.415
```

Calculated values
**Formation enthalpy at 0 K**: 0.096 eV/atom
**Symmetry**: No. 139
**Total energy**: -2.33 eV/atom



Below is a relaxed structure of LiCd2P, with properties calculated at the GGA-PBEsol level.

The structure in extended XYZ format:
```
4
Lattice="-0.650 2.517 -3.168 -3.886 -1.282 -0.221 1.096 2.473 4.390" Properties=species:S:1:pos:R:3 pbc="T T T"
Cd -0.911 2.804 -0.236
Cd -2.529 0.904 1.238
Li 0.000 0.000 0.000
P -2.268 0.617 -1.694
```

Calculated values
**Formation enthalpy at 0 K**: -0.100 eV/atom
**Symmetry**: No. 139
**Total energy**: -2.64 eV/atom



Below is a relaxed structure of LiCd2P, with properties calculated at the GGA-PBEsol level.

The structure in extended XYZ format:
```
8
Lattice="4.805 0.000 0.000 2.403 6.090 0.000 2.403 0.000 6.090" Properties=species:S:1:pos:R:3 pbc="T T T"
P 0.000 0.000 0.000
P 6.007 3.045 3.045
Li 2.403 0.000 0.000
Li 3.604 3.045 3.045
Cd 5.406 0.576 2.469
Cd 5.406 5.514 3.621
Cd 6.608 2.469 5.514
Cd 1.802 3.621 0.576
```

Calculated values
**Formation enthalpy at 0 K**: -0.059 eV/atom
**Symmetry**: No. 122
**Total energy**: -2.60 eV/atom